Below is a geometry-optimized Pu2Al3Au structure, with properties calculated at the PBE-GGA level.

Results
As for the density of states at the Fermi level: 1.850 states/eV per atom. The space group is No. 12. The value obtained for the total energy is -45.8 eV/cell. For the formation energy, the calculation gives -0.434 eV/atom.

a = 5.6103 Å, b = 5.6103 Å, c = 5.4563 Å
α = 89.92°, β = 120.86°, γ = 120.16°
Last column: magnetic moment on the atom in μB.
Sites, in units of the cell vectors:
Pu 0.7617 0.3799 0.1416  5.31
Pu 0.2383 0.6201 0.8584  5.31
Au 0.0000 0.0000 0.0000  0.01
Al 0.0000 0.0000 0.5000  -0.02
Al 0.5000 0.5000 0.5000  -0.02
Al 0.5000 0.0000 0.5000  -0.03

***

Below is a geometry-optimized RbIn9Hg2 structure, with properties calculated at the PBE-GGA level.

Results
As for the density of states at the Fermi level: 0.412 states/eV per atom. The space group is No. 12. The value obtained for the total energy is -25.9 eV/cell. For the formation energy, the calculation gives 0.023 eV/atom.

a = 6.6919 Å, b = 6.6920 Å, c = 10.2806 Å
α = 70.55°, β = 70.55°, γ = 59.14°
Sites, in units of the cell vectors:
In 0.6620 0.6620 0.0138
In 0.3380 0.3380 0.9862
In 0.9310 0.4007 0.2695
In 0.5993 0.0690 0.7305
Rb 0.0000 0.0000 0.0000
Hg 0.8652 0.8652 0.3985
In 0.6004 0.6004 0.7285
In 0.0690 0.5993 0.7305
Hg 0.1348 0.1348 0.6015
In 0.3996 0.3996 0.2715
In 0.5000 0.5000 0.5000
In 0.4007 0.9310 0.2695

***

Below is a geometry-optimized Ba2Ca4O structure, with properties calculated at the PBE-GGA level.

Results
The raw formation energy comes out at -678 meV/atom. As for the density of states at the Fermi level: 1.177 states/eV per atom. The space group is No. 139. The value obtained for the total energy is -21.6 eV/cell.

a = 5.0156 Å, b = 5.0156 Å, c = 11.7492 Å
α = 77.68°, β = 77.68°, γ = 90.00°
Sites, in units of the cell vectors:
O 0.0000 0.0000 0.0000
Ba 0.3120 0.3120 0.3760
Ca 0.5000 0.0000 0.0000
Ba 0.6880 0.6880 0.6240
Ca 0.8919 0.8919 0.2162
Ca 0.1081 0.1081 0.7838
Ca 0.0000 0.5000 0.0000